Entry 1:
SrAlMoW2: optimized geometry, GGA-PBE.

Results
Symmetry: P4/mmm, No. 123
Crystal system: tetragonal
Fermi-level density of states: 7.9 states/eV/f.u.

Cell lengths 4.7752, 4.7625, 4.7752 Å; angles 90.00, 90.00, 90.00 degrees
Atoms (fractional coordinates):
Sr (0.5000, 0.5000, 0.5000)
Mo (0.0000, 0.5000, 0.0000)
Al (0.0000, 0.0000, 0.0000)
W (0.0000, 0.0000, 0.5000)
W (0.5000, 0.0000, 0.0000)



Entry 2:
Nd2CuAs3Pd4: optimized geometry, GGA-PBE.

Results
Symmetry: P-4m2, No. 115
Crystal system: tetragonal
Fermi-level density of states: 4.1 states/eV/f.u.

Cell lengths 4.3473, 4.3473, 10.1019 Å; angles 90.00, 90.00, 90.00 degrees
Atoms (fractional coordinates):
Nd (0.5000, 0.0000, 0.2482)
Nd (0.0000, 0.5000, 0.7518)
Cu (0.5000, 0.5000, 0.5000)
As (0.0000, 0.0000, 0.5000)
As (0.5000, 0.0000, 0.8622)
As (0.0000, 0.5000, 0.1378)
Pd (0.5000, 0.5000, 0.0000)
Pd (0.0000, 0.0000, 0.0000)
Pd (0.5000, 0.0000, 0.6206)
Pd (0.0000, 0.5000, 0.3794)



Entry 3:
SrIr: optimized geometry, GGA-PBE.

Results
Symmetry: Fddd, No. 70
Crystal system: orthorhombic
Fermi-level density of states: 1.3 states/eV/f.u.

Cell lengths 5.7792, 15.1267, 8.8975 Å; angles 90.00, 90.00, 90.00 degrees
Atoms (fractional coordinates):
Sr (0.0000, 0.0000, 0.6700)
Sr (0.0000, 0.0000, 0.3300)
Sr (0.2500, 0.7500, 0.5800)
Sr (0.2500, 0.7500, 0.9200)
Sr (0.0000, 0.5000, 0.1700)
Sr (0.0000, 0.5000, 0.8300)
Sr (0.2500, 0.2500, 0.0800)
Sr (0.2500, 0.2500, 0.4200)
Sr (0.5000, 0.0000, 0.1700)
Sr (0.5000, 0.0000, 0.8300)
Sr (0.7500, 0.7500, 0.0800)
Sr (0.7500, 0.7500, 0.4200)
Sr (0.5000, 0.5000, 0.6700)
Sr (0.5000, 0.5000, 0.3300)
Sr (0.7500, 0.2500, 0.5800)
Sr (0.7500, 0.2500, 0.9200)
Ir (0.0000, 0.0823, 0.0000)
Ir (0.0000, 0.9177, 0.0000)
Ir (0.2500, 0.6677, 0.2500)
Ir (0.2500, 0.8323, 0.2500)
Ir (0.0000, 0.5823, 0.5000)
Ir (0.0000, 0.4177, 0.5000)
Ir (0.2500, 0.1677, 0.7500)
Ir (0.2500, 0.3323, 0.7500)
Ir (0.5000, 0.0823, 0.5000)
Ir (0.5000, 0.9177, 0.5000)
Ir (0.7500, 0.6677, 0.7500)
Ir (0.7500, 0.8323, 0.7500)
Ir (0.5000, 0.5823, 0.0000)
Ir (0.5000, 0.4177, 0.0000)
Ir (0.7500, 0.1677, 0.2500)
Ir (0.7500, 0.3323, 0.2500)



Entry 4:
TlReMo2: optimized geometry, GGA-PBE.

Results
Offset from the most stable computed form: 321 meV/atom
Symmetry: P4/mmm, No. 123
Crystal system: tetragonal
Fermi-level density of states: 3.5 states/eV/f.u.

Cell lengths 4.5207, 4.5207, 3.3194 Å; angles 90.00, 90.00, 90.00 degrees
Atoms (fractional coordinates):
Mo (0.0000, 0.0000, 0.0000)
Mo (0.5000, 0.5000, 0.0000)
Re (0.5000, 0.0000, 0.5000)
Tl (0.0000, 0.5000, 0.5000)



Entry 5:
BeAg2PdAu: optimized geometry, GGA-PBE.

Results
Symmetry: P4/mmm, No. 123
Crystal system: tetragonal
Fermi-level density of states: 2.2 states/eV/f.u.

Cell lengths 4.4077, 4.3452, 4.4077 Å; angles 90.00, 90.00, 90.00 degrees
Atoms (fractional coordinates):
Be (0.0000, 0.0000, 0.0000)
Au (0.0000, 0.5000, 0.0000)
Pd (0.5000, 0.5000, 0.5000)
Ag (0.0000, 0.0000, 0.5000)
Ag (0.5000, 0.0000, 0.0000)



Entry 6:
MgBeNi: optimized geometry, GGA-PBE.

Results
Offset from the most stable computed form: 98 meV/atom
Symmetry: I4mm, No. 107
Crystal system: tetragonal
Fermi-level density of states: 1.9 states/eV/f.u.

Cell lengths 4.9479, 4.9476, 2.8817 Å; angles 73.07, 73.06, 33.86 degrees
Atoms (fractional coordinates):
Ni (0.6331, 0.6331, 0.3669)
Mg (0.3304, 0.3304, 0.6696)
Be (0.0365, 0.0365, 0.9635)



Entry 7:
Dy2ScSn: optimized geometry, GGA-PBE.

Results
Offset from the most stable computed form: 50 meV/atom
Symmetry: P4/mmm, No. 123
Crystal system: tetragonal
Fermi-level density of states: 4.6 states/eV/f.u.

Cell lengths 4.0974, 4.0974, 6.4278 Å; angles 90.00, 90.00, 90.00 degrees
Atoms (fractional coordinates):
Sc (0.5000, 0.5000, 0.0000)
Sn (0.5000, 0.5000, 0.5000)
Dy (0.0000, 0.0000, 0.7409)
Dy (0.0000, 0.0000, 0.2591)



Entry 8:
CaCo2Ag: optimized geometry, GGA-PBE.

Results
Symmetry: C2/m, No. 12
Crystal system: monoclinic
Fermi-level density of states: 3.9 states/eV/f.u.

Cell lengths 5.2800, 5.2800, 2.8188 Å; angles 79.84, 79.84, 117.41 degrees
Last column: magnetic moment on the atom in μB.
Atoms (fractional coordinates):
Ca (0.0000, 0.5000, 0.5000)  -0.12
Co (0.0000, 0.0000, 0.0000)  1.56
Co (0.5000, 0.5000, 0.0000)  1.56
Ag (0.5000, 0.0000, 0.5000)  -0.02



no.,formation energy (eV/atom),size of the total moment (μB/cell),calculated density (g cm⁻³)
1,1.685,0.0,8.84
2,-0.809,0.0,8.72
3,0.111,0.0,9.56
4,0.740,0.0,14.26
5,0.289,0.0,10.39
6,-0.140,0.0,4.08
7,-0.358,0.0,7.52
8,0.524,2.7,6.73